[1]
Density functional theory data (PBE) for crystalline SrZr4As6O24 at its relaxed geometry.

E (eV/atom): -7.3050

```
SrZr4As6O24
1.0
4.438 -7.687 0.000
8.876 0.000 0.000
-4.438 2.562 8.006
As O Zr Sr
6 24 4 1
direct
0.040 0.746 0.258
0.529 0.960 0.742
0.254 0.529 0.742
0.960 0.254 0.742
0.746 0.471 0.258
0.471 0.040 0.258
0.710 0.675 0.412
0.380 0.258 0.247
0.973 0.290 0.588
0.675 0.027 0.412
0.004 0.966 0.294
0.887 0.685 0.070
0.996 0.034 0.706
0.258 0.609 0.247
0.676 0.996 0.706
0.324 0.004 0.294
0.502 0.113 0.930
0.498 0.887 0.070
0.325 0.973 0.588
0.027 0.710 0.412
0.966 0.324 0.294
0.391 0.620 0.753
0.315 0.502 0.930
0.290 0.325 0.588
0.609 0.380 0.247
0.685 0.498 0.070
0.620 0.742 0.753
0.034 0.676 0.706
0.742 0.391 0.753
0.113 0.315 0.930
0.144 0.144 0.432
0.354 0.354 0.063
0.646 0.646 0.937
0.856 0.856 0.568
0.500 0.500 0.500
```



[2]
Density functional theory data (PBE) for crystalline HoTmZnCo2 at its relaxed geometry.

E (eV/atom): -5.2350

```
HoTmZnCo2
1.0
-2.023 2.720 4.048
2.023 -2.720 4.048
2.023 2.720 -4.048
Zn Co Tm Ho
1 2 1 1
direct
0.001 0.001 0.000
0.288 0.499 0.789
0.711 0.499 0.211
0.293 0.793 0.500
0.708 0.208 0.500
```